The following is a PBE calculation of a geometry-optimized LiSi2Ir structure, from Alexandria.

Summary:
- Energy relative to the lowest polymorph listed for this composition: 0.279 eV per atom
- Formation energy from raw total energies: -0.2062 eV/atom
- Calculated density: 8.1 g/cm3
- Total magnetic moment: 0.00 μB per cell

a = 5.0174 Å, b = 7.3565 Å, c = 2.8454 Å
α = 90.00°, β = 90.46°, γ = 90.00°
Space group C2/m (No. 12)
One atom of each set of equivalent atoms:
Li: 0.0000 0.0000 0.0000 [2 per cell]
Si: 0.2500 0.2500 0.5000 [4 per cell]
Ir: 0.0000 0.5000 0.0000 [2 per cell]


The following is a PBE calculation of a geometry-optimized LiSi2Ir structure, from Alexandria.

Summary:
- Energy relative to the lowest polymorph listed for this composition: 0.627 eV per atom
- Formation energy from raw total energies: 0.1418 eV/atom
- Calculated density: 6.4 g/cm3
- Total magnetic moment: 0.16 μB per cell

a = 2.6152 Å, b = 4.4042 Å, c = 11.4528 Å
α = 90.00°, β = 90.00°, γ = 90.00°
Space group Immm (No. 71)
One atom of each set of equivalent atoms:
Li: 0.0000 0.0000 0.0000 [2 per cell]
Si: 0.0000 0.0000 0.2941 [4 per cell]
Ir: 0.0000 0.0000 0.5000 [2 per cell]


Number 1: DFT total energy -5.611 eV/atom. Number 2: DFT total energy -5.263 eV/atom.